Entry from Alexandria: BaPaTe4Pd after structural relaxation (PBE).

- Space group: No. 11
- V: 219.40 Å³/f.u.
- Magnetization: 0.54 μB per cell
- Raw total energy: -5.1284 eV per atom
- Energy relative to the elements, uncorrected: -92.6 kJ per mole of atoms

Cell: 7.6257 6.3371 9.6438 Å, 90.00 109.68 90.00°
With the nearest neighbours (Å) after each atom.
Fractional coordinates of all 14 atoms:
1 Ba 0.2302 0.2500 0.0606  8 Te 3.43-3.76
2 Ba 0.7698 0.7500 0.9394  8 Te 3.43-3.76
3 Pa 0.2822 0.2500 0.5623  8 Te 3.05-3.34, 1 Pd 3.27
4 Pa 0.7178 0.7500 0.4377  8 Te 3.05-3.34, 1 Pd 3.27
5 Te 0.0273 0.5066 0.7086  1 Pd 2.70
6 Te 0.0273 0.9934 0.7086  1 Pd 2.70
7 Te 0.4286 0.7500 0.5998  1 Pd 2.64
8 Te 0.4453 0.7500 0.1225  1 Pd 2.64
9 Te 0.5547 0.2500 0.8775  1 Pd 2.64
10 Te 0.5714 0.2500 0.4002  1 Pd 2.64
11 Te 0.9727 0.0066 0.2914  1 Pd 2.70
12 Te 0.9727 0.4934 0.2914  1 Pd 2.70
13 Pd 0.2625 0.7500 0.3115  4 Te 2.64-2.70
14 Pd 0.7375 0.2500 0.6885  4 Te 2.64-2.70

***

Entry from Alexandria: Ba2PmPaS6 after structural relaxation (PBE).

- Space group: No. 14
- V: 289.92 Å³/f.u.
- Magnetization: 0.00 μB per cell
- Raw total energy: -6.2634 eV per atom
- Energy relative to the elements, uncorrected: -190.8 kJ per mole of atoms

Cell: 7.2850 7.5992 12.7547 Å, 90.00 124.80 90.00°
With the nearest neighbours (Å) after each atom.
Fractional coordinates of all 20 atoms:
1 Ba 0.2314 0.0646 0.2504  6 S 3.18-3.43
2 Ba 0.2314 0.4354 0.7504  6 S 3.18-3.43
3 Ba 0.7686 0.5646 0.2496  6 S 3.18-3.43
4 Ba 0.7686 0.9354 0.7496  6 S 3.18-3.43
5 Pm 0.5000 0.0000 0.0000  6 S 2.79-2.81
6 Pm 0.5000 0.5000 0.5000  6 S 2.79-2.81
7 Pa 0.0000 0.0000 0.5000  6 S 2.64-2.66
8 Pa 0.0000 0.5000 0.0000  6 S 2.64-2.66
9 S 0.1428 0.2108 0.9495  1 Pa 2.66, 1 Pm 2.80
10 S 0.1428 0.2892 0.4495  1 Pa 2.66, 1 Pm 2.80
11 S 0.2434 0.6959 0.9521  1 Pa 2.64, 1 Pm 2.81
12 S 0.2434 0.8041 0.4521  1 Pa 2.64, 1 Pm 2.81
13 S 0.3355 0.0256 0.7426  1 Pa 2.64, 1 Pm 2.79
14 S 0.3355 0.4744 0.2426  1 Pa 2.64, 1 Pm 2.79
15 S 0.6645 0.5256 0.7574  1 Pa 2.64, 1 Pm 2.79
16 S 0.6645 0.9744 0.2574  1 Pa 2.64, 1 Pm 2.79
17 S 0.7566 0.1959 0.5479  1 Pa 2.64, 1 Pm 2.81
18 S 0.7566 0.3041 0.0479  1 Pa 2.64, 1 Pm 2.81
19 S 0.8572 0.7108 0.5505  1 Pa 2.66, 1 Pm 2.80
20 S 0.8572 0.7892 0.0505  1 Pa 2.66, 1 Pm 2.80

***

Entry from Alexandria: Ba2PmPaSb4 after structural relaxation (PBE).

- Space group: No. 10
- V: 295.09 Å³/f.u.
- Magnetization: 0.08 μB per cell
- Raw total energy: -5.2536 eV per atom
- Energy relative to the elements, uncorrected: -89.8 kJ per mole of atoms

Cell: 7.9913 4.6568 8.3703 Å, 90.00 108.68 90.00°
With the nearest neighbours (Å) after each atom.
Fractional coordinates of all 8 atoms:
1 Ba 0.0000 0.0000 0.0000  6 Sb 3.58-3.59
2 Ba 0.5000 0.5000 0.0000  6 Sb 3.47-3.48
3 Pm 0.0000 0.5000 0.5000  6 Sb 3.20-3.21
4 Pa 0.5000 0.0000 0.5000  6 Sb 3.07-3.11
5 Sb 0.2502 0.0000 0.7122  1 Pa 3.07, 2 Pm 3.21
6 Sb 0.2747 0.5000 0.2926  2 Pa 3.11, 1 Pm 3.20, 1 Ba 3.47
7 Sb 0.7253 0.5000 0.7074  2 Pa 3.11, 1 Pm 3.20, 1 Ba 3.47
8 Sb 0.7498 0.0000 0.2878  1 Pa 3.07, 2 Pm 3.21

***

Entry from Alexandria: Ba2PrPaS6 after structural relaxation (PBE).

- Space group: No. 14
- V: 294.25 Å³/f.u.
- Magnetization: 0.00 μB per cell
- Raw total energy: -6.2549 eV per atom
- Energy relative to the elements, uncorrected: -189.7 kJ per mole of atoms

Cell: 7.3118 7.6501 12.8027 Å, 90.00 124.74 90.00°
With the nearest neighbours (Å) after each atom.
Fractional coordinates of all 20 atoms:
1 Ba 0.2304 0.0661 0.2505  6 S 3.18-3.43
2 Ba 0.2304 0.4339 0.7505  6 S 3.18-3.43
3 Ba 0.7696 0.5661 0.2495  6 S 3.18-3.43
4 Ba 0.7696 0.9339 0.7495  6 S 3.18-3.43
5 Pr 0.5000 0.0000 0.0000  6 S 2.83-2.85
6 Pr 0.5000 0.5000 0.5000  6 S 2.83-2.85
7 Pa 0.0000 0.0000 0.5000  6 S 2.64-2.67
8 Pa 0.0000 0.5000 0.0000  6 S 2.64-2.67
9 S 0.1369 0.2119 0.9466  1 Pa 2.67, 1 Pr 2.84
10 S 0.1369 0.2881 0.4466  1 Pa 2.67, 1 Pr 2.84
11 S 0.2407 0.6934 0.9502  1 Pa 2.64, 1 Pr 2.85
12 S 0.2407 0.8066 0.4502  1 Pa 2.64, 1 Pr 2.85
13 S 0.3379 0.0288 0.7406  1 Pa 2.64, 1 Pr 2.83
14 S 0.3379 0.4712 0.2406  1 Pa 2.64, 1 Pr 2.83
15 S 0.6621 0.5288 0.7594  1 Pa 2.64, 1 Pr 2.83
16 S 0.6621 0.9712 0.2594  1 Pa 2.64, 1 Pr 2.83
17 S 0.7593 0.1934 0.5498  1 Pa 2.64, 1 Pr 2.85
18 S 0.7593 0.3066 0.0498  1 Pa 2.64, 1 Pr 2.85
19 S 0.8631 0.7119 0.5534  1 Pa 2.67, 1 Pr 2.84
20 S 0.8631 0.7881 0.0534  1 Pa 2.67, 1 Pr 2.84